[1]
A relaxed structure of MgZrCr2Br, computed with PBEsol.

E_tot in eV per atom: -5.163
Calculated volume in Å³ per cell: 127.0
E_form (uncorrected) in eV per formula unit: 7.35

a b c (Å): 4.697 4.697 5.754
angles (deg): 90.00 90.00 90.00
Space group P4/mmm (No. 123)
Asymmetric unit:
Mg: 0.000 0.000 0.000
Zr: 0.000 0.000 0.500
Cr: 0.000 0.500 0.500
Br: 0.500 0.500 0.000

[2]
A relaxed structure of Mn2CrBr, computed with PBEsol.

E_tot in eV per atom: -7.124
Calculated volume in Å³ per cell: 52.7
E_form (uncorrected) in eV per formula unit: 3.14

a b c (Å): 4.279 4.279 2.877
angles (deg): 90.00 90.00 90.00
Space group P4/mmm (No. 123)
Asymmetric unit:
Mn: 0.000 0.500 0.000
Cr: 0.000 0.000 0.500
Br: 0.500 0.500 0.500

[3]
A relaxed structure of MnCrBr2, computed with PBEsol.

E_tot in eV per atom: -5.729
Calculated volume in Å³ per cell: 172.5
E_form (uncorrected) in eV per formula unit: 0.83

a b c (Å): 13.313 3.428 3.957
angles (deg): 90.00 107.13 90.00
Space group C2/m (No. 12)
Asymmetric unit:
Mn: 0.000 0.000 0.000
Cr: 0.000 0.500 0.500
Br: 0.138 0.000 0.639

[4]
A relaxed structure of Mn2CrBr, computed with PBEsol.

E_tot in eV per atom: -7.125
Calculated volume in Å³ per cell: 114.7
E_form (uncorrected) in eV per formula unit: 3.13

a b c (Å): 3.837 3.837 7.794
angles (deg): 90.00 90.00 90.00
Space group I4/mmm (No. 139)
Asymmetric unit:
Mn: 0.000 0.500 0.250
Cr: 0.000 0.000 0.000
Br: 0.000 0.000 0.500

[5]
A relaxed structure of MnCr4Br, computed with PBEsol.

E_tot in eV per atom: -7.950
Calculated volume in Å³ per cell: 308.1
E_form (uncorrected) in eV per formula unit: 4.90

a b c (Å): 6.754 6.754 6.754
angles (deg): 90.00 90.00 90.00
Space group F-43m (No. 216)
Asymmetric unit:
Mn: 0.000 0.000 0.000
Cr: 0.126 0.126 0.626
Br: 0.250 0.250 0.250

[6]
A relaxed structure of MnCr2Br, computed with PBEsol.

E_tot in eV per atom: -7.165
Calculated volume in Å³ per cell: 115.2
E_form (uncorrected) in eV per formula unit: 3.45

a b c (Å): 3.901 3.901 7.571
angles (deg): 90.00 90.00 90.00
Space group I-4m2 (No. 119)
Asymmetric unit:
Mn: 0.000 0.000 0.000
Cr: 0.000 0.000 0.500
Cr: 0.000 0.500 0.750
Br: 0.000 0.500 0.250

[7]
A relaxed structure of MnCr2MoBr, computed with PBEsol.

E_tot in eV per atom: -7.202
Calculated volume in Å³ per cell: 84.0
E_form (uncorrected) in eV per formula unit: 7.87

a b c (Å): 4.320 4.320 4.503
angles (deg): 90.00 90.00 90.00
Space group P4/mmm (No. 123)
Asymmetric unit:
Mn: 0.000 0.000 0.000
Cr: 0.000 0.500 0.000
Mo: 0.500 0.500 0.500
Br: 0.000 0.000 0.500

[8]
A relaxed structure of Cr2MoBr, computed with PBEsol.

E_tot in eV per atom: -7.496
Calculated volume in Å³ per cell: 218.8
E_form (uncorrected) in eV per formula unit: 4.14

a b c (Å): 6.026 6.026 6.026
angles (deg): 90.00 90.00 90.00
Space group Fm-3m (No. 225)
Asymmetric unit:
Cr: 0.250 0.250 0.250
Mo: 0.000 0.000 0.000
Br: 0.000 0.000 0.500

[9]
A relaxed structure of CrBrN2, computed with PBEsol.

E_tot in eV per atom: -6.962
Calculated volume in Å³ per cell: 140.2
E_form (uncorrected) in eV per formula unit: 1.32

a b c (Å): 2.9798 2.9798 18.2287
angles (deg): 90.00 90.00 120.00
Space group R-3m (No. 166, hexagonal axes)
Asymmetric unit:
Cr: 0.0000 0.0000 0.0000
Br: 0.0000 0.0000 0.5000
N: 0.0000 0.0000 0.3874

[10]
A relaxed structure of CrBr3N, computed with PBEsol.

E_tot in eV per atom: -4.120
Calculated volume in Å³ per cell: 123.0
E_form (uncorrected) in eV per formula unit: 3.78

a b c (Å): 4.973 4.973 4.973
angles (deg): 90.00 90.00 90.00
Space group Pm-3m (No. 221)
Asymmetric unit:
Cr: 0.000 0.000 0.000
Br: 0.000 0.000 0.500
N: 0.500 0.500 0.500

[11]
A relaxed structure of CrBrN2, computed with PBEsol.

E_tot in eV per atom: -7.028
Calculated volume in Å³ per cell: 498.9
E_form (uncorrected) in eV per formula unit: 1.05

a b c (Å): 7.931 7.931 7.931
angles (deg): 90.00 90.00 90.00
Space group Fd-3m (No. 227, origin choice 2)
Asymmetric unit:
Cr: 0.125 0.125 0.125
Br: 0.125 0.125 0.625
N: 0.000 0.000 0.000

[12]
A relaxed structure of Na2CrBr, computed with PBEsol.

E_tot in eV per atom: -3.521
Calculated volume in Å³ per cell: 483.4
E_form (uncorrected) in eV per formula unit: 0.83

a b c (Å): 8.060 8.060 7.441
angles (deg): 90.00 90.00 90.00
Space group I-42d (No. 122)
Asymmetric unit:
Na: 0.212 0.750 0.125
Cr: 0.000 0.000 0.500
Br: 0.000 0.000 0.000

> Among the records above, which one has the highest E_form (uncorrected)?

MnCr2MoBr

> Which value of E_tot does entry 5 give?

-7.950 eV per atom